Entry 1:
Computed, not measured: an optimized crystal structure of Dy3Sn2Ge at the PBE level of DFT.

Values from the calculation:
DOS(E_F) = 4.321 states/eV/f.u.
Spin magnetization = 0.0 μB per formula unit
Crystal system = orthorhombic
SG = No. 62
Energy relative to the elements = -654 meV/atom

a = 4.3302 Å, b = 11.8845 Å, c = 12.4233 Å
α = 90.00°, β = 90.00°, γ = 90.00°
Atoms (fractional coordinates):
Dy 0.7500 0.2171 0.2604
Sn 0.7500 0.0044 0.6882
Dy 0.2500 0.7171 0.2396
Dy 0.7500 0.2829 0.7604
Dy 0.7500 0.9512 0.1154
Dy 0.7500 0.6195 0.9480
Dy 0.2500 0.4512 0.3846
Dy 0.7500 0.5488 0.6154
Dy 0.2500 0.7829 0.7396
Ge 0.2500 0.3719 0.6261
Dy 0.2500 0.3805 0.0520
Sn 0.7500 0.4956 0.1882
Ge 0.7500 0.6281 0.3739
Sn 0.2500 0.5044 0.8118
Dy 0.7500 0.8805 0.4480
Sn 0.2500 0.7049 0.5084
Ge 0.2500 0.1281 0.1261
Ge 0.7500 0.8719 0.8739
Sn 0.7500 0.2049 0.9916
Sn 0.2500 0.7951 0.0084
Sn 0.7500 0.2951 0.4916
Dy 0.2500 0.0488 0.8846
Sn 0.2500 0.9956 0.3118
Dy 0.2500 0.1195 0.5520



Entry 2:
Computed, not measured: an optimized crystal structure of Dy8SnGe5 at the PBE level of DFT.

Values from the calculation:
DOS(E_F) = 1.270 states/eV/f.u.
Spin magnetization = 0.0 μB per formula unit
Crystal system = tetragonal
SG = No. 82
Energy relative to the elements = -829 meV/atom

a = 7.7272 Å, b = 7.7272 Å, c = 7.7272 Å
α = 109.28°, β = 109.85°, γ = 109.28°
Atoms (fractional coordinates):
Dy 0.7509 0.2489 0.3732
Sn 0.2500 0.5000 0.7500
Ge 0.5000 0.0000 0.5000
Dy 0.1203 0.7560 0.0139
Dy 0.6358 0.8936 0.8797
Dy 0.6268 0.3777 0.8757
Dy 0.4980 0.6223 0.2491
Dy 0.2578 0.2440 0.3642
Ge 0.8748 0.8778 0.2512
Dy 0.9861 0.1064 0.7422
Ge 0.0030 0.3765 0.1252
Ge 0.3735 0.1222 0.9970
Dy 0.1243 0.7511 0.5020
Ge 0.7488 0.6235 0.6265



Entry 3:
Computed, not measured: an optimized crystal structure of Dy8Sn5Ge at the PBE level of DFT.

Values from the calculation:
DOS(E_F) = 1.380 states/eV/f.u.
Spin magnetization = 0.0 μB per formula unit
Crystal system = tetragonal
SG = No. 82
Energy relative to the elements = -742 meV/atom

a = 7.9843 Å, b = 7.9843 Å, c = 7.9843 Å
α = 109.69°, β = 109.03°, γ = 109.69°
Atoms (fractional coordinates):
Dy 0.1282 0.7417 0.0067
Sn 0.5000 0.0000 0.5000
Dy 0.2650 0.2583 0.3865
Sn 0.8770 0.8726 0.2491
Sn 0.7509 0.6279 0.6234
Dy 0.4796 0.6063 0.2279
Dy 0.7721 0.2516 0.3784
Ge 0.2500 0.5000 0.7500
Sn 0.3766 0.1274 0.0045
Dy 0.6216 0.3937 0.8733
Dy 0.6135 0.8784 0.8718
Sn 0.9955 0.3721 0.1230
Dy 0.1267 0.7484 0.5204
Dy 0.9933 0.1216 0.7350



Entry 4:
Computed, not measured: an optimized crystal structure of Dy2SnGe at the PBE level of DFT.

Values from the calculation:
DOS(E_F) = 3.540 states/eV/f.u.
Spin magnetization = 0.0 μB per formula unit
Crystal system = tetragonal
SG = No. 123
Energy relative to the elements = -637 meV/atom

a = 3.3846 Å, b = 3.3846 Å, c = 8.5363 Å
α = 90.00°, β = 90.00°, γ = 90.00°
Atoms (fractional coordinates):
Ge 0.5000 0.5000 0.0000
Dy 0.0000 0.0000 0.7735
Dy 0.0000 0.0000 0.2265
Sn 0.5000 0.5000 0.5000



Entry 5:
Computed, not measured: an optimized crystal structure of Dy2SnGe2 at the PBE level of DFT.

Values from the calculation:
DOS(E_F) = 1.754 states/eV/f.u.
Spin magnetization = 0.0 μB per formula unit
Crystal system = orthorhombic
SG = No. 65
Energy relative to the elements = -659 meV/atom

a = 4.0495 Å, b = 3.9596 Å, c = 7.6816 Å
α = 104.94°, β = 90.00°, γ = 90.00°
Atoms (fractional coordinates):
Dy 0.5000 0.6344 0.2688
Ge 0.0000 0.1935 0.3870
Sn 0.0000 0.0000 0.0000
Ge 0.0000 0.8065 0.6130
Dy 0.5000 0.3656 0.7312



Entry 6:
Computed, not measured: an optimized crystal structure of Dy3SnGe2 at the PBE level of DFT.

Values from the calculation:
DOS(E_F) = 2.635 states/eV/f.u.
Spin magnetization = 0.0 μB per formula unit
Crystal system = trigonal
SG = No. 167
Energy relative to the elements = -714 meV/atom
Relative energy among the computed polymorphs = 0.000 eV per atom

a = 7.5946 Å, b = 7.5946 Å, c = 7.5946 Å
α = 62.05°, β = 62.05°, γ = 62.05°
Atoms (fractional coordinates):
Dy 0.2500 0.5652 0.9348
Ge 0.6616 0.6616 0.6616
Dy 0.0652 0.7500 0.4348
Dy 0.5652 0.9348 0.2500
Dy 0.9348 0.2500 0.5652
Ge 0.3384 0.3384 0.3384
Sn 0.0000 0.0000 0.0000
Dy 0.7500 0.4348 0.0652
Sn 0.5000 0.5000 0.5000
Ge 0.8384 0.8384 0.8384
Dy 0.4348 0.0652 0.7500
Ge 0.1616 0.1616 0.1616